This record from Alexandria via LeMat-Bulk describes a geometry-optimized Ce2Au5 structure. The functional is PBE-GGA.

Structure (POSCAR):
```
Ce2Au5
1.0
5.766 0.000 -2.448
-1.378 6.819 -3.247
0.088 -0.390 8.222
Au Ce
10 4
Direct
0.750 0.500 0.000
0.250 0.500 0.000
0.530 0.280 0.560
0.970 0.720 0.440
0.624 0.917 0.249
0.376 0.083 0.751
0.124 0.332 0.249
0.030 0.280 0.560
0.876 0.668 0.751
0.470 0.720 0.440
0.390 0.695 0.780
0.110 0.915 0.220
0.610 0.305 0.220
0.890 0.085 0.780
```

Formation enthalpy at 0 K: -0.596 eV per atom
Space-group type: Ibam, No. 72
Fermi-level density of states: 1.908 states/eV/atom
Magnetization: 1.76 μB/f.u.